Entry 1:
DFT (PBE) results for an optimized crystal structure of LiCa3Tb2Te6.

a b c (Å): 7.6651 7.6651 7.6948
angles (deg): 99.60 99.60 119.96
Atoms (fractional coordinates):
1 Li 0.0000 0.0000 0.0000
2 Ca 0.1684 0.8316 0.5000
3 Ca 0.5000 0.5000 0.5000
4 Ca 0.8316 0.1684 0.5000
5 Tb 0.3340 0.6660 0.0000
6 Tb 0.6660 0.3340 0.0000
7 Te 0.0799 0.4098 0.2404
8 Te 0.2494 0.2494 0.7578
9 Te 0.4098 0.0799 0.2404
10 Te 0.5902 0.9201 0.7596
11 Te 0.7506 0.7506 0.2422
12 Te 0.9201 0.5902 0.7596

Computed properties:
symmetry = C2/m
mass density = 5.444 g/cm³
total magnetization = 0.00 Bohr magnetons per cell
E_form (uncorrected) = -17.6 eV per formula unit



Entry 2:
DFT (PBE) results for an optimized crystal structure of LiCaTbTl.

a b c (Å): 5.3627 5.3627 5.3627
angles (deg): 60.00 60.00 60.00
Atoms (fractional coordinates):
1 Li 0.0000 0.0000 0.0000
2 Ca 0.7500 0.7500 0.7500
3 Tb 0.2500 0.2500 0.2500
4 Tl 0.5000 0.5000 0.5000

Computed properties:
ΔH_f (0 K) = -0.2263 eV per atom
symmetry = F-43m
mass density = 6.248 g/cm³
total magnetization = 0.00 Bohr magnetons per cell



Entry 3:
DFT (PBE) results for an optimized crystal structure of Li2CaTb2Tl2.

a b c (Å): 9.5832 9.5832 9.5832
angles (deg): 29.54 29.54 29.54
Atoms (fractional coordinates):
1 Li 0.1035 0.1035 0.1035
2 Li 0.8965 0.8965 0.8965
3 Ca 0.5000 0.5000 0.5000
4 Tb 0.3721 0.3721 0.3721
5 Tb 0.6279 0.6279 0.6279
6 Tl 0.2437 0.2437 0.2437
7 Tl 0.7563 0.7563 0.7563

Computed properties:
ΔH_f (0 K) = -0.1818 eV per atom
symmetry = R-3m
mass density = 6.845 g/cm³
total magnetization = 0.00 Bohr magnetons per cell



Entry 4:
DFT (PBE) results for an optimized crystal structure of LiCaTb2Tl4.

a b c (Å): 9.3114 9.3114 9.3114
angles (deg): 33.11 33.11 33.11
Atoms (fractional coordinates):
1 Li 0.0000 0.0000 0.0000
2 Ca 0.5000 0.5000 0.5000
3 Tb 0.2531 0.2531 0.2531
4 Tb 0.7469 0.7469 0.7469
5 Tl 0.1213 0.1213 0.1213
6 Tl 0.3727 0.3727 0.3727
7 Tl 0.6273 0.6273 0.6273
8 Tl 0.8787 0.8787 0.8787

Computed properties:
ΔH_f (0 K) = -0.3368 eV per atom
symmetry = R-3m
mass density = 9.156 g/cm³
total magnetization = 0.00 Bohr magnetons per cell



Entry 5:
DFT (PBE) results for an optimized crystal structure of LiCaTbZn.

a b c (Å): 5.2052 5.2052 5.2052
angles (deg): 60.00 60.00 60.00
Atoms (fractional coordinates):
1 Li 0.0000 0.0000 0.0000
2 Ca 0.2500 0.2500 0.2500
3 Tb 0.7500 0.7500 0.7500
4 Zn 0.5000 0.5000 0.5000

Computed properties:
ΔH_f (0 K) = -0.0928 eV per atom
symmetry = F-43m
mass density = 4.518 g/cm³
total magnetization = 0.00 Bohr magnetons per cell



Entry 6:
DFT (PBE) results for an optimized crystal structure of Li2CaTc.

a b c (Å): 6.2175 6.2175 6.2175
angles (deg): 153.90 130.56 56.75
Atoms (fractional coordinates):
1 Li 0.2167 0.2167 0.0000
2 Li 0.7833 0.7833 0.0000
3 Ca 0.5000 0.0000 0.5000
4 Tc 0.0000 0.5000 0.5000

Computed properties:
ΔH_f (0 K) = 0.4618 eV per atom
symmetry = Immm
mass density = 3.160 g/cm³
excess energy over the best structure of this formula in the dataset = 3.2 kJ/mol of atoms
total magnetization = 0.00 Bohr magnetons per cell



Entry 7:
DFT (PBE) results for an optimized crystal structure of Li2CaTc.

a b c (Å): 2.7218 4.9752 5.4925
angles (deg): 90.00 93.03 90.00
Atoms (fractional coordinates):
1 Li 0.2030 0.0000 0.1959
2 Li 0.7970 0.0000 0.8041
3 Ca 0.0000 0.5000 0.5000
4 Tc 0.5000 0.5000 0.0000

Computed properties:
ΔH_f (0 K) = 0.4432 eV per atom
symmetry = P2/m
mass density = 3.397 g/cm³
excess energy over the best structure of this formula in the dataset = 1.4 kJ/mol of atoms
total magnetization = 0.16 Bohr magnetons per cell



Entry 8:
DFT (PBE) results for an optimized crystal structure of Li2CaTc.

a b c (Å): 4.2271 4.2271 4.3921
angles (deg): 90.00 90.00 90.00
Atoms (fractional coordinates):
1 Li 0.0000 0.5000 0.0000
2 Li 0.5000 0.0000 0.0000
3 Ca 0.0000 0.0000 0.5000
4 Tc 0.5000 0.5000 0.5000

Computed properties:
ΔH_f (0 K) = 0.6187 eV per atom
symmetry = P4/mmm
mass density = 3.215 g/cm³
excess energy over the best structure of this formula in the dataset = 18.3 kJ/mol of atoms
total magnetization = 1.78 Bohr magnetons per cell



Entry 9:
DFT (PBE) results for an optimized crystal structure of Li2CaTc.

a b c (Å): 5.2916 5.2916 5.2916
angles (deg): 134.28 134.28 66.65
Atoms (fractional coordinates):
1 Li 0.0000 0.0000 0.0000
2 Li 0.7500 0.2500 0.5000
3 Ca 0.5000 0.5000 0.0000
4 Tc 0.2500 0.7500 0.5000

Computed properties:
ΔH_f (0 K) = 0.6212 eV per atom
symmetry = I-4m2
mass density = 3.377 g/cm³
excess energy over the best structure of this formula in the dataset = 18.5 kJ/mol of atoms
total magnetization = 1.03 Bohr magnetons per cell



Entry 10:
DFT (PBE) results for an optimized crystal structure of Li2CaTc.

a b c (Å): 3.3640 4.8026 4.9744
angles (deg): 90.00 90.00 90.00
Atoms (fractional coordinates):
1 Li 0.0000 0.0000 0.0000
2 Li 0.5000 0.5000 0.0000
3 Ca 0.0000 0.5000 0.5000
4 Tc 0.5000 0.0000 0.5000

Computed properties:
ΔH_f (0 K) = 0.5910 eV per atom
symmetry = Pmmm
mass density = 3.140 g/cm³
excess energy over the best structure of this formula in the dataset = 15.6 kJ/mol of atoms
total magnetization = 1.91 Bohr magnetons per cell



Entry 11:
DFT (PBE) results for an optimized crystal structure of Li2CaTc.

a b c (Å): 10.6560 10.6560 10.6560
angles (deg): 15.84 15.84 15.84
Atoms (fractional coordinates):
1 Li 0.2372 0.2372 0.2372
2 Li 0.7628 0.7628 0.7628
3 Ca 0.0000 0.0000 0.0000
4 Tc 0.5000 0.5000 0.5000

Computed properties:
ΔH_f (0 K) = 0.6781 eV per atom
symmetry = R-3m
mass density = 3.210 g/cm³
excess energy over the best structure of this formula in the dataset = 24.0 kJ/mol of atoms
total magnetization = 1.14 Bohr magnetons per cell



Entry 12:
DFT (PBE) results for an optimized crystal structure of LiCa2Tc.

a b c (Å): 3.4230 3.4230 8.9100
angles (deg): 90.00 90.00 90.00
Atoms (fractional coordinates):
1 Li 0.0000 0.0000 0.0000
2 Ca 0.5000 0.5000 0.2926
3 Ca 0.5000 0.5000 0.7074
4 Tc 0.0000 0.0000 0.5000

Computed properties:
ΔH_f (0 K) = 0.4246 eV per atom
symmetry = P4/mmm
mass density = 2.944 g/cm³
total magnetization = 1.54 Bohr magnetons per cell